Entry 1:
The following is a PBE calculation of a relaxed structure of PrInAs2O8, from Alexandria.

a = 6.8318 Å, b = 6.8318 Å, c = 6.8318 Å
α = 136.54°, β = 136.54°, γ = 63.15°
Last column: nearest neighbours and their distance in Å.
Sites, in units of the cell vectors:
Pr 0.0000 0.0000 0.0000  8 O 2.40-2.53
In 0.2500 0.7500 0.5000  8 O 2.30-2.45
As 0.5000 0.5000 0.0000  4 O 1.73
As 0.7500 0.2500 0.5000  4 O 1.74
O 0.2783 0.6699 0.1090  1 As 1.73
O 0.3301 0.4391 0.6084  1 As 1.73
O 0.4229 0.0172 0.0890  1 As 1.74
O 0.5609 0.1693 0.8910  1 As 1.73
O 0.6662 0.5771 0.5944  1 As 1.74
O 0.8307 0.7217 0.3916  1 As 1.73
O 0.9282 0.3338 0.9110  1 As 1.74
O 0.9828 0.0718 0.4056  1 As 1.74

## Properties
The density comes out at 5.95 g/cm³. Its crystal system is tetragonal. As for the total energy: -6.49 eV/atom. Its raw formation energy is -1.787 eV/atom.



Entry 2:
The following is a PBE calculation of a relaxed structure of Rb2InAs2O6, from Alexandria.

a = 7.4165 Å, b = 7.4165 Å, c = 7.4165 Å
α = 47.76°, β = 47.76°, γ = 47.76°
Last column: nearest neighbours and their distance in Å.
Sites, in units of the cell vectors:
Rb 0.2348 0.2348 0.2348  6 O 3.07
Rb 0.7652 0.7652 0.7652  6 O 3.07
In 0.0000 0.0000 0.0000  6 O 2.22
As 0.4271 0.4271 0.4271  3 O 1.76
As 0.5729 0.5729 0.5729  3 O 1.76
O 0.2384 0.2384 0.7228  1 As 1.76
O 0.2384 0.7228 0.2384  1 As 1.76
O 0.2772 0.7616 0.7616  1 As 1.76
O 0.7228 0.2384 0.2384  1 As 1.76
O 0.7616 0.2772 0.7616  1 As 1.76
O 0.7616 0.7616 0.2772  1 As 1.76

## Properties
The density comes out at 4.31 g/cm³. Its crystal system is trigonal. As for the total energy: -5.37 eV/atom. Its raw formation energy is -1.395 eV/atom.



Entry 3:
The following is a PBE calculation of a relaxed structure of RbInAs2O7, from Alexandria.

a = 8.0198 Å, b = 8.8639 Å, c = 10.7019 Å
α = 91.06°, β = 90.01°, γ = 105.87°
Last column: nearest neighbours and their distance in Å.
Sites, in units of the cell vectors:
Rb 0.1642 0.0428 0.1802  6 O 2.93-3.19
Rb 0.1890 0.5602 0.3144  5 O 2.84-3.03
Rb 0.8110 0.4398 0.6856  5 O 2.84-3.03
Rb 0.8358 0.9572 0.8198  6 O 2.93-3.19
In 0.2371 0.2686 0.6020  6 O 2.17-2.23
In 0.2380 0.7592 0.9039  6 O 2.13-2.22
In 0.7620 0.2408 0.0961  6 O 2.13-2.22
In 0.7629 0.7314 0.3980  6 O 2.17-2.23
As 0.1251 0.8297 0.6013  4 O 1.70-1.80
As 0.1537 0.3491 0.9256  4 O 1.69-1.81
As 0.4299 0.1724 0.8598  4 O 1.70-1.79
As 0.4456 0.7009 0.6304  4 O 1.70-1.82
As 0.5544 0.2991 0.3696  4 O 1.70-1.82
As 0.5701 0.8276 0.1402  4 O 1.70-1.79
As 0.8463 0.6509 0.0744  4 O 1.69-1.81
As 0.8749 0.1703 0.3987  4 O 1.70-1.80
O 0.0027 0.2156 0.0084  1 As 1.70
O 0.0048 0.7205 0.4829  1 As 1.71
O 0.0747 0.7228 0.7346  1 As 1.71
O 0.1030 0.0141 0.6168  1 As 1.70
O 0.1036 0.3201 0.7704  1 As 1.71
O 0.1905 0.5335 0.9855  1 As 1.69
O 0.2677 0.0039 0.8683  1 As 1.70
O 0.3297 0.5245 0.5712  1 As 1.70
O 0.3443 0.2392 0.4195  1 As 1.71
O 0.3463 0.8417 0.5624  2 As 1.80-1.82
O 0.3572 0.3074 0.9584  2 As 1.79-1.81
O 0.3748 0.8356 0.0839  1 As 1.70
O 0.4534 0.7311 0.7888  1 As 1.71
O 0.4562 0.2497 0.7130  1 As 1.72
O 0.5438 0.7503 0.2870  1 As 1.72
O 0.5466 0.2689 0.2112  1 As 1.71
O 0.6252 0.1644 0.9161  1 As 1.70
O 0.6428 0.6926 0.0416  2 As 1.79-1.81
O 0.6537 0.1583 0.4376  2 As 1.80-1.82
O 0.6557 0.7608 0.5805  1 As 1.71
O 0.6703 0.4755 0.4288  1 As 1.70
O 0.7323 0.9961 0.1317  1 As 1.70
O 0.8095 0.4665 0.0145  1 As 1.69
O 0.8964 0.6799 0.2296  1 As 1.71
O 0.8970 0.9859 0.3832  1 As 1.70
O 0.9253 0.2772 0.2654  1 As 1.71
O 0.9952 0.2795 0.5171  1 As 1.71
O 0.9973 0.7844 0.9916  1 As 1.70

## Properties
The density comes out at 4.20 g/cm³. Its crystal system is triclinic. As for the total energy: -5.81 eV/atom. Its raw formation energy is -1.476 eV/atom.



Entry 4:
The following is a PBE calculation of a relaxed structure of RbInAs2O8, from Alexandria.

a = 9.1969 Å, b = 9.1969 Å, c = 9.1969 Å
α = 33.48°, β = 33.48°, γ = 33.48°
Last column: nearest neighbours and their distance in Å.
Sites, in units of the cell vectors:
Rb 0.0000 0.0000 0.0000  6 O 3.16
In 0.5000 0.5000 0.5000  6 O 2.18
As 0.2369 0.2369 0.2369  4 O 1.71-1.73
As 0.7631 0.7631 0.7631  4 O 1.71-1.73
O 0.1060 0.4849 0.7569  1 As 1.73
O 0.2431 0.5151 0.8940  1 As 1.73
O 0.3025 0.3025 0.3025  1 As 1.71
O 0.4849 0.7569 0.1060  1 As 1.73
O 0.5151 0.8940 0.2431  1 As 1.73
O 0.6975 0.6975 0.6975  1 As 1.71
O 0.7569 0.1060 0.4849  1 As 1.73
O 0.8940 0.2431 0.5151  1 As 1.73

## Properties
The density comes out at 3.77 g/cm³. Its crystal system is trigonal. As for the total energy: -5.51 eV/atom. Its raw formation energy is -1.116 eV/atom.



Entry 5:
The following is a PBE calculation of a relaxed structure of In2SbAsO, from Alexandria.

a = 5.6364 Å, b = 5.6364 Å, c = 5.2299 Å
α = 90.00°, β = 90.00°, γ = 90.00°
Last column: nearest neighbours and their distance in Å.
Sites, in units of the cell vectors:
In 0.0000 0.5000 0.0000  2 As 2.82
In 0.5000 0.0000 0.0000  2 As 2.82
Sb 0.0000 0.0000 0.5000  2 As 2.61
As 0.0000 0.0000 0.0000  2 Sb 2.61, 4 In 2.82
O 0.5000 0.5000 0.5000  8 In 3.84, 4 Sb 3.99

## Properties
The density comes out at 4.42 g/cm³. Its crystal system is tetragonal. As for the total energy: -3.08 eV/atom. Its raw formation energy is 0.760 eV/atom.



Entry 6:
The following is a PBE calculation of a relaxed structure of InAs2SeO, from Alexandria.

a = 4.3390 Å, b = 4.3390 Å, c = 5.1583 Å
α = 90.00°, β = 90.00°, γ = 90.00°
Last column: nearest neighbours and their distance in Å.
Sites, in units of the cell vectors:
In 0.0000 0.0000 0.0000  4 Se 3.07, 8 As 3.37
As 0.0000 0.5000 0.5000  2 O 2.17
As 0.5000 0.0000 0.5000  2 O 2.17
Se 0.5000 0.5000 0.0000  2 O 2.58
O 0.5000 0.5000 0.5000  4 As 2.17

## Properties
The density comes out at 6.15 g/cm³. Its crystal system is tetragonal. As for the total energy: -3.87 eV/atom. Its raw formation energy is 0.229 eV/atom. The calculation puts the polymorph energy (0 for the lowest one) at 0.0 kJ/mol of atoms.



Please write out number 5 again, unchanged.
The following is a PBE calculation of a relaxed structure of In2SbAsO, from Alexandria.

a = 5.6364 Å, b = 5.6364 Å, c = 5.2299 Å
α = 90.00°, β = 90.00°, γ = 90.00°
Last column: nearest neighbours and their distance in Å.
Sites, in units of the cell vectors:
In 0.0000 0.5000 0.0000  2 As 2.82
In 0.5000 0.0000 0.0000  2 As 2.82
Sb 0.0000 0.0000 0.5000  2 As 2.61
As 0.0000 0.0000 0.0000  2 Sb 2.61, 4 In 2.82
O 0.5000 0.5000 0.5000  8 In 3.84, 4 Sb 3.99

## Properties
The density comes out at 4.42 g/cm³. Its crystal system is tetragonal. As for the total energy: -3.08 eV/atom. Its raw formation energy is 0.760 eV/atom.